The following is a PBE calculation of an optimized crystal structure of CuTcOsW, from Alexandria via LeMat-Bulk.

Cell and atoms, written as POSCAR:
```
CuTcOsW
1.0
4.3392 0.0000 0.0000
2.1696 3.7579 0.0000
2.1696 1.2526 3.5429
Cu Os W Tc
1 1 1 1
Direct
0.5000 0.5000 0.5000
0.7500 0.7500 0.7500
0.0000 0.0000 0.0000
0.2500 0.2500 0.2500
```

Output
As for the total magnetization: 0.00 μB/cell. Its crystal system is cubic. Its space group is F-43m. The formation energy is 193 meV/atom.